PBE Ac2ErOs2N6, optimized geometry; theoretical density = 9.91 Mg/m³; total energy = -91.32 eV per cell; formation energy (no corrections) = -556.8 meV/atom; symmetry = No. 166
1.0
5.860 0.000 0.000
2.930 5.075 0.000
2.930 1.692 6.116
Ac Er Os N
2 1 2 6
Direct
0.788 0.788 0.637
0.212 0.212 0.363
0.000 0.000 0.000
0.398 0.398 0.807
0.602 0.602 0.193
0.745 0.745 0.279
0.231 0.745 0.279
0.745 0.231 0.279
0.255 0.769 0.721
0.769 0.255 0.721
0.255 0.255 0.721

***

PBE AcEr2OsN4, optimized geometry; theoretical density = 10.99 Mg/m³; total energy = -130.82 eV per cell; formation energy (no corrections) = -955.3 meV/atom; symmetry = No. 63
1.0
3.500 0.000 0.000
-1.750 5.943 0.000
0.000 0.000 11.732
Ac Er Os N
2 4 2 8
Direct
0.101 0.202 0.750
0.899 0.798 0.250
0.369 0.737 0.542
0.631 0.263 0.042
0.631 0.263 0.458
0.369 0.737 0.958
0.841 0.682 0.750
0.159 0.318 0.250
0.262 0.524 0.118
0.738 0.476 0.618
0.738 0.476 0.882
0.262 0.524 0.382
0.000 0.000 0.500
0.000 0.000 0.000
0.423 0.847 0.750
0.577 0.153 0.250

***

PBE Ac2ErP2N6, optimized geometry; theoretical density = 7.00 Mg/m³; total energy = -83.74 eV per cell; formation energy (no corrections) = -926.6 meV/atom; symmetry = No. 147
1.0
5.804 0.000 0.000
-2.902 5.026 0.000
0.000 0.000 6.237
Ac Er P N
2 1 2 6
Direct
0.667 0.333 0.682
0.333 0.667 0.318
0.000 0.000 0.000
0.333 0.667 0.813
0.667 0.333 0.187
0.123 0.360 0.764
0.640 0.763 0.764
0.237 0.877 0.764
0.877 0.640 0.236
0.360 0.237 0.236
0.763 0.123 0.236

***

PBE Ac3ErP2N6, optimized geometry; theoretical density = 8.31 Mg/m³; total energy = -92.29 eV per cell; formation energy (no corrections) = -1218.9 meV/atom; symmetry = No. 164
1.0
5.819 0.000 0.000
-2.909 5.039 0.000
0.000 0.000 6.772
Ac Er P N
3 1 2 6
Direct
0.333 0.667 0.656
0.667 0.333 0.344
0.000 0.000 0.000
0.000 0.000 0.500
0.667 0.333 0.810
0.333 0.667 0.190
0.639 0.819 0.294
0.181 0.361 0.294
0.181 0.819 0.294
0.819 0.639 0.706
0.361 0.181 0.706
0.819 0.181 0.706

***

PBE Ac2ErPuN5, optimized geometry; theoretical density = 10.17 Mg/m³; total energy = -156.91 eV per cell; formation energy (no corrections) = -1079.8 meV/atom; symmetry = No. 36
1.0
-0.002 -2.227 2.949
1.425 -4.502 -5.713
11.282 1.818 1.381
Ac Er Pu N
4 2 2 10
Direct
0.854 0.709 0.780
0.102 0.203 0.686
0.146 0.291 0.280
0.898 0.797 0.186
0.776 0.552 0.513
0.224 0.448 0.013
0.532 0.064 0.958
0.468 0.936 0.458
0.389 0.778 0.004
0.670 0.340 0.896
0.490 0.979 0.783
0.273 0.546 0.655
0.941 0.882 0.550
0.611 0.222 0.504
0.330 0.660 0.396
0.510 0.021 0.283
0.727 0.454 0.155
0.059 0.118 0.050

***

PBE AcEr2RuN4, optimized geometry; theoretical density = 9.89 Mg/m³; total energy = -127.95 eV per cell; formation energy (no corrections) = -1020.3 meV/atom; symmetry = No. 63
1.0
3.501 0.000 0.000
-1.751 5.932 0.000
0.000 0.000 11.624
Ac Er Ru N
2 4 2 8
Direct
0.107 0.214 0.750
0.893 0.786 0.250
0.369 0.737 0.543
0.631 0.263 0.043
0.631 0.263 0.457
0.369 0.737 0.957
0.846 0.691 0.750
0.154 0.309 0.250
0.264 0.527 0.120
0.736 0.473 0.620
0.736 0.473 0.880
0.264 0.527 0.380
0.000 0.000 0.500
0.000 0.000 0.000
0.428 0.857 0.750
0.572 0.143 0.250

***

PBE AcEr2SbN4, optimized geometry; theoretical density = 9.21 Mg/m³; total energy = -113.38 eV per cell; formation energy (no corrections) = -754.2 meV/atom; symmetry = No. 63
1.0
3.789 0.000 0.000
-1.895 5.985 0.000
0.000 0.000 11.760
Ac Er Sb N
2 4 2 8
Direct
0.101 0.201 0.750
0.899 0.799 0.250
0.373 0.746 0.539
0.627 0.254 0.039
0.627 0.254 0.461
0.373 0.746 0.961
0.842 0.683 0.750
0.158 0.317 0.250
0.275 0.551 0.121
0.725 0.449 0.621
0.725 0.449 0.879
0.275 0.551 0.379
0.000 0.000 0.500
0.000 0.000 0.000
0.422 0.844 0.750
0.578 0.156 0.250

***

PBE AcEr2SiN4, optimized geometry; theoretical density = 9.25 Mg/m³; total energy = -125.97 eV per cell; formation energy (no corrections) = -1378.1 meV/atom; symmetry = No. 63
1.0
-1.538 1.753 -2.533
3.116 -4.530 -2.686
-9.178 -6.820 0.853
Ac Er Si N
2 4 2 8
Direct
0.086 0.173 0.750
0.914 0.827 0.250
0.369 0.737 0.542
0.631 0.263 0.042
0.631 0.263 0.458
0.369 0.737 0.958
0.822 0.643 0.750
0.178 0.357 0.250
0.262 0.525 0.126
0.738 0.475 0.626
0.738 0.475 0.874
0.262 0.525 0.374
0.000 0.000 0.500
0.000 0.000 0.000
0.399 0.797 0.750
0.601 0.203 0.250

***

PBE AcErTaN3, optimized geometry; theoretical density = 9.26 Mg/m³; total energy = -103.75 eV per cell; formation energy (no corrections) = -1062.2 meV/atom; symmetry = No. 11
1.0
-1.081 1.764 2.845
3.292 -5.418 4.611
6.506 4.756 -0.478
Ac Er Ta N
2 2 2 6
Direct
0.750 0.825 0.825
0.250 0.175 0.175
0.250 0.615 0.149
0.750 0.385 0.851
0.250 0.120 0.585
0.750 0.880 0.415
0.250 0.841 0.538
0.750 0.838 0.171
0.750 0.403 0.126
0.750 0.159 0.462
0.250 0.597 0.874
0.250 0.162 0.829

***

PBE AcEr2TaN4, optimized geometry; theoretical density = 10.37 Mg/m³; total energy = -137.50 eV per cell; formation energy (no corrections) = -1295.0 meV/atom; symmetry = No. 63
1.0
-0.327 -3.406 -0.574
3.481 2.248 -4.831
10.054 -2.026 6.303
Ac Er Ta N
2 4 2 8
Direct
0.090 0.180 0.750
0.910 0.820 0.250
0.372 0.743 0.536
0.628 0.257 0.036
0.628 0.257 0.464
0.372 0.743 0.964
0.829 0.659 0.750
0.171 0.341 0.250
0.259 0.519 0.116
0.741 0.481 0.616
0.741 0.481 0.884
0.259 0.519 0.384
0.000 0.000 0.500
0.000 0.000 0.000
0.425 0.850 0.750
0.575 0.150 0.250

***

PBE Ac2ErTc2N6, optimized geometry; theoretical density = 8.21 Mg/m³; total energy = -91.31 eV per cell; formation energy (no corrections) = -713.5 meV/atom; symmetry = No. 166
1.0
-5.011 -1.718 2.497
0.115 -3.560 4.649
-1.446 3.114 6.109
Ac Er Tc N
2 1 2 6
Direct
0.788 0.788 0.635
0.212 0.212 0.365
0.000 0.000 0.000
0.399 0.399 0.803
0.601 0.601 0.197
0.744 0.744 0.279
0.232 0.744 0.279
0.744 0.232 0.279
0.256 0.768 0.721
0.768 0.256 0.721
0.256 0.256 0.721

***

PBE Ac3ErTc2N6, optimized geometry; theoretical density = 8.58 Mg/m³; total energy = -97.26 eV per cell; formation energy (no corrections) = -807.3 meV/atom; symmetry = No. 164
1.0
6.045 0.000 0.000
-3.023 5.235 0.000
0.000 0.000 6.898
Ac Er Tc N
3 1 2 6
Direct
0.333 0.667 0.679
0.667 0.333 0.321
0.000 0.000 0.000
0.000 0.000 0.500
0.667 0.333 0.808
0.333 0.667 0.192
0.659 0.830 0.293
0.170 0.341 0.293
0.170 0.830 0.293
0.830 0.659 0.707
0.341 0.170 0.707
0.830 0.170 0.707

***

PBE AcEr2TcN4, optimized geometry; theoretical density = 9.68 Mg/m³; total energy = -131.20 eV per cell; formation energy (no corrections) = -1087.4 meV/atom; symmetry = No. 63
1.0
3.509 0.000 0.000
-1.755 5.948 0.000
0.000 0.000 11.758
Ac Er Tc N
2 4 2 8
Direct
0.090 0.181 0.750
0.910 0.819 0.250
0.369 0.738 0.542
0.631 0.262 0.042
0.631 0.262 0.458
0.369 0.738 0.958
0.832 0.663 0.750
0.168 0.337 0.250
0.260 0.521 0.115
0.740 0.479 0.615
0.740 0.479 0.885
0.260 0.521 0.385
0.000 0.000 0.500
0.000 0.000 0.000
0.420 0.840 0.750
0.580 0.160 0.250

***

PBE AcErTiN3, optimized geometry; theoretical density = 7.74 Mg/m³; total energy = -98.60 eV per cell; formation energy (no corrections) = -1292.7 meV/atom; symmetry = No. 11
1.0
3.615 0.000 0.000
0.000 7.462 0.577
0.000 -2.267 7.529
Ac Er Ti N
2 2 2 6
Direct
0.750 0.811 0.807
0.250 0.189 0.193
0.250 0.641 0.150
0.750 0.359 0.850
0.250 0.103 0.602
0.750 0.897 0.398
0.250 0.831 0.474
0.750 0.883 0.151
0.750 0.425 0.143
0.750 0.169 0.526
0.250 0.575 0.857
0.250 0.117 0.849

***

PBE AcErW2N6, optimized geometry; theoretical density = 8.80 Mg/m³; total energy = -189.94 eV per cell; formation energy (no corrections) = -1043.9 meV/atom; symmetry = No. 15
1.0
-1.325 2.351 5.545
1.241 -5.729 4.459
6.562 2.468 2.255
Ac Er W N
2 2 4 12
Direct
0.250 0.310 0.690
0.750 0.690 0.310
0.250 0.913 0.087
0.750 0.087 0.913
0.223 0.804 0.622
0.277 0.378 0.196
0.777 0.196 0.378
0.723 0.622 0.804
0.136 0.991 0.794
0.364 0.206 0.009
0.864 0.009 0.206
0.636 0.794 0.991
0.320 0.891 0.389
0.180 0.611 0.109
0.680 0.109 0.611
0.820 0.389 0.891
0.986 0.665 0.628
0.514 0.372 0.335
0.014 0.335 0.372
0.486 0.628 0.665

***

PBE AcErZrN3, optimized geometry; theoretical density = 9.23 Mg/m³; total energy = -101.42 eV per cell; formation energy (no corrections) = -1418.9 meV/atom; symmetry = No. 11
1.0
-1.019 2.823 -1.923
2.438 -2.514 -4.982
-8.414 -3.111 -0.108
Ac Er Zr N
2 2 2 6
Direct
0.750 0.648 0.696
0.250 0.352 0.304
0.250 0.767 0.043
0.750 0.233 0.957
0.250 0.134 0.645
0.750 0.866 0.355
0.250 0.783 0.475
0.750 0.036 0.160
0.750 0.563 0.164
0.750 0.217 0.525
0.250 0.437 0.836
0.250 0.964 0.840

***

PBE NaAcNdEr, optimized geometry; theoretical density = 6.46 Mg/m³; total energy = -13.79 eV per cell; symmetry = No. 216; ΔH_f (0 K) = 241.9 meV per atom
1.0
-2.346 2.283 4.894
-3.942 -3.091 3.093
1.457 -2.196 5.265
Na Ac Nd Er
1 1 1 1
Direct
0.750 0.750 0.750
0.500 0.500 0.500
0.000 0.000 0.000
0.250 0.250 0.250

***

PBE Na3AcEr2O6, optimized geometry; theoretical density = 6.58 Mg/m³; total energy = -79.35 eV per cell; formation energy (no corrections) = -2701.1 meV/atom; symmetry = No. 12
1.0
3.493 0.000 0.000
0.000 6.896 0.325
-1.747 -1.921 7.518
Na Ac Er O
3 1 2 6
Direct
0.500 0.500 0.000
0.821 0.161 0.643
0.179 0.839 0.357
0.500 0.000 0.000
0.830 0.653 0.661
0.170 0.347 0.339
0.336 0.878 0.671
0.681 0.567 0.361
0.664 0.122 0.329
0.020 0.259 0.039
0.980 0.741 0.961
0.319 0.433 0.639

***

PBE Na4Ac3ErO8, optimized geometry; theoretical density = 6.55 Mg/m³; total energy = -102.89 eV per cell; formation energy (no corrections) = -2566.5 meV/atom; symmetry = No. 166
1.0
7.425 0.000 0.000
0.000 7.107 -0.223
-3.713 -3.714 5.249
Na Ac Er O
4 3 1 8
Direct
0.500 0.000 0.000
0.500 0.000 0.500
0.000 0.000 0.000
0.000 0.000 0.500
0.500 0.500 0.000
0.500 0.500 0.500
0.000 0.500 0.500
0.000 0.500 0.000
0.227 0.715 0.987
0.227 0.715 0.455
0.259 0.277 0.518
0.760 0.715 0.987
0.240 0.285 0.013
0.741 0.723 0.482
0.773 0.285 0.545
0.773 0.285 0.013